Entry a
This record from Alexandria describes crystalline HfCdS3 at its relaxed geometry. The functional is GGA-PBE. Values from VASP.

Spin magnetization (μB/atom): 0.000

```
&SYSTEM
  ibrav = 0, nat = 5, ntyp = 3
/
ATOMIC_SPECIES
Hf 178.49 Hf.upf
Cd 112.41 Cd.upf
S 32.06 S.upf
CELL_PARAMETERS angstrom
4.825 0.000 0.000
0.000 4.825 0.000
0.000 0.000 4.825
ATOMIC_POSITIONS angstrom
Hf 0.000 0.000 0.000
Cd 2.412 2.412 2.412
S 0.000 2.412 2.412
S 2.412 0.000 2.412
S 2.412 2.412 0.000
```

***

Entry b
This record from Alexandria describes crystalline HfCdS3 at its relaxed geometry. The functional is GGA-PBE. Values from VASP.

Spin magnetization (μB/atom): 0.000

```
&SYSTEM
  ibrav = 0, nat = 5, ntyp = 3
/
ATOMIC_SPECIES
Hf 178.49 Hf.upf
Cd 112.41 Cd.upf
S 32.06 S.upf
CELL_PARAMETERS angstrom
4.932 0.000 0.000
0.000 4.932 0.000
0.000 0.000 4.932
ATOMIC_POSITIONS angstrom
Hf 0.000 0.000 0.000
Cd 2.466 2.466 2.466
S 0.000 0.000 2.466
S 0.000 2.466 0.000
S 2.466 0.000 0.000
```

***

Which of them is most stable, and which least? Most stable: entry b; least stable: entry a.